Computed, not measured: an optimized crystal structure of Pb2AuCl8 at the PBE level of DFT.

Computed properties:
Energy relative to the elements, uncorrected ... -0.657 eV/atom

POSCAR file:
```
Pb2AuCl8
1.0
3.632 -7.859 0.000
3.632 7.859 0.000
-1.104 0.000 7.492
Pb Au Cl
2 1 8
Direct
0.184 0.816 0.000
0.816 0.184 0.000
0.000 0.000 0.500
0.075 0.075 0.809
0.147 0.853 0.500
0.168 0.556 0.194
0.444 0.832 0.806
0.556 0.168 0.194
0.832 0.444 0.806
0.853 0.147 0.500
0.925 0.925 0.191
```

Computed, not measured: an optimized crystal structure of Pb2AuCl at the PBE level of DFT.

Computed properties:
ΔE to the lowest computed polymorph ... 235 meV per atom
Energy relative to the elements, uncorrected ... -0.138 eV/atom

POSCAR file:
```
Pb2AuCl
1.0
1.853 1.070 9.140
-1.853 1.070 9.140
0.000 -2.140 9.140
Pb Au Cl
2 1 1
Direct
0.000 0.000 0.000
0.227 0.227 0.227
0.737 0.737 0.737
0.474 0.474 0.474
```

Computed, not measured: an optimized crystal structure of PbAu2Cl at the PBE level of DFT.

Computed properties:
ΔE to the lowest computed polymorph ... 155 meV per atom
Energy relative to the elements, uncorrected ... -0.123 eV/atom

POSCAR file:
```
PbAu2Cl
1.0
4.074 0.000 0.000
0.000 4.074 0.000
0.000 0.000 5.620
Pb Au Cl
1 2 1
Direct
0.000 0.000 0.000
0.000 0.500 0.500
0.500 0.000 0.500
0.500 0.500 0.000
```

Computed, not measured: an optimized crystal structure of PbAu2Cl at the PBE level of DFT.

Computed properties:
ΔE to the lowest computed polymorph ... 0 meV per atom
Energy relative to the elements, uncorrected ... -0.278 eV/atom

POSCAR file:
```
PbAu2Cl
1.0
4.064 0.000 0.000
0.000 3.816 0.000
-1.980 0.000 6.686
Pb Au Cl
1 2 1
Direct
0.000 0.000 0.000
0.172 0.500 0.353
0.667 0.000 0.343
0.405 0.500 0.805
```

Computed, not measured: an optimized crystal structure of PbAu2Cl at the PBE level of DFT.

Computed properties:
ΔE to the lowest computed polymorph ... 141 meV per atom
Energy relative to the elements, uncorrected ... -0.137 eV/atom

POSCAR file:
```
PbAu2Cl
1.0
-2.033 2.033 5.644
2.033 -2.033 5.644
2.033 2.033 -5.644
Pb Au Cl
1 2 1
Direct
0.000 0.000 0.000
0.250 0.750 0.500
0.750 0.250 0.500
0.500 0.500 0.000
```

Computed, not measured: an optimized crystal structure of PbAuCl6 at the PBE level of DFT.

Computed properties:
ΔE to the lowest computed polymorph ... 48 meV per atom
Energy relative to the elements, uncorrected ... -0.465 eV/atom

POSCAR file:
```
PbAuCl6
1.0
5.918 0.000 0.000
0.492 7.041 0.000
2.466 3.106 6.399
Pb Au Cl
1 1 6
Direct
0.000 0.000 0.000
0.500 0.500 0.000
0.023 0.783 0.370
0.291 0.396 0.838
0.438 0.848 0.805
0.562 0.152 0.195
0.709 0.604 0.162
0.977 0.217 0.630
```